Compound: AcPr2Hg
Source: Alexandria via LeMat-Bulk
Functional: PBE
Structure: optimized geometry

Calculated values
Final energy ... -14.5 eV per cell
ΔE to the lowest computed polymorph ... 100 meV/atom
E_form ... -131 meV/atom

Cell: 3.879 3.879 11.327 Å, 80.14 80.14 60.00°
Atoms (fractional coordinates):
Ac 0.500 0.500 0.500
Pr 0.072 0.072 0.785
Pr 0.262 0.262 0.215
Hg 0.667 0.667 0.000

=====

Compound: SmTl2P2S6
Source: Alexandria via LeMat-Bulk
Functional: PBE
Structure: optimized geometry

Calculated values
Energy relative to the elements, uncorrected ... -592 meV per atom
Final energy ... -51.5 eV per cell

Cell: 6.935 6.778 8.059 Å, 113.69 90.00 120.77°
Atoms (fractional coordinates):
Sm 0.500 0.000 0.500
Tl 0.706 0.413 0.192
Tl 0.294 0.587 0.808
P 0.957 0.915 0.825
P 0.043 0.085 0.175
S 0.762 0.525 0.619
S 0.188 0.893 0.200
S 0.295 0.107 0.800
S 0.812 0.107 0.800
S 0.705 0.893 0.200
S 0.238 0.475 0.381

=====

Compound: KCrCu2Sn
Source: Alexandria via LeMat-Bulk
Functional: PBE
Structure: optimized geometry

Calculated values
Final energy ... -17.9 eV per cell
E_form ... 1002 meV/atom

Cell: 4.962 6.268 4.962 Å, 90.00 90.00 90.00°
Last column: magnetic moment on the atom in μB.
Atoms (fractional coordinates):
Cr 0.500 0.500 0.500  4.41
K 0.000 0.500 0.000  0.02
Sn 0.000 0.000 0.000  -0.07
Cu 0.000 0.000 0.500  0.01
Cu 0.500 0.000 0.000  0.00

=====

Compound: Al2BO
Source: Alexandria via LeMat-Bulk
Functional: PBE
Structure: optimized geometry

Calculated values
Energy relative to the elements, uncorrected ... 111 meV per atom
Final energy ... -18.7 eV per cell
ΔE to the lowest computed polymorph ... 880 meV/atom

Cell: 3.908 3.908 3.908 Å, 60.00 60.00 60.00°
Last column: magnetic moment on the atom in μB.
Atoms (fractional coordinates):
B 0.000 0.000 0.000  0.12
Al 0.250 0.250 0.250  0.02
Al 0.750 0.750 0.750  0.02
O 0.500 0.500 0.500  0.36

=====

Compound: La3SnO
Source: Alexandria via LeMat-Bulk
Functional: PBE
Structure: optimized geometry

Calculated values
Energy relative to the elements, uncorrected ... -986 meV per atom
Final energy ... -28.7 eV per cell

Cell: 6.156 6.156 6.156 Å, 112.44 112.44 112.44°
Atoms (fractional coordinates):
Sn 0.390 0.390 0.390
O 0.963 0.963 0.963
La 0.713 0.095 0.713
La 0.095 0.713 0.713
La 0.713 0.713 0.095

=====

Compound: ZrTc2Rh
Source: Alexandria via LeMat-Bulk
Functional: PBE
Structure: optimized geometry

Calculated values
Final energy ... -37.1 eV per cell
ΔE to the lowest computed polymorph ... 45 meV/atom
E_form ... -119 meV/atom

Cell: 4.848 4.848 4.848 Å, 132.92 127.40 73.24°
Atoms (fractional coordinates):
Rh 0.246 0.746 0.500
Tc 0.985 0.985 0.000
Tc 0.761 0.261 0.500
Zr 0.508 0.508 0.000

=====

Compound: Ca3TlBi
Source: Alexandria via LeMat-Bulk
Functional: PBE
Structure: optimized geometry

Calculated values
Final energy ... -12.9 eV per cell
ΔE to the lowest computed polymorph ... 410 meV/atom
E_form ... -128 meV/atom

Cell: 5.841 5.841 5.841 Å, 90.00 90.00 90.00°
Atoms (fractional coordinates):
Tl 0.000 0.000 0.000
Ca 0.000 0.500 0.000
Ca 0.000 0.000 0.500
Ca 0.500 0.000 0.000
Bi 0.500 0.500 0.500

=====

Compound: SnHgSb2
Source: Alexandria via LeMat-Bulk
Functional: PBE
Structure: optimized geometry

Calculated values
Energy relative to the elements, uncorrected ... 122 meV per atom
Final energy ... -12.1 eV per cell

Cell: 4.398 4.398 7.483 Å, 72.91 72.91 60.00°
Atoms (fractional coordinates):
Sn 0.668 0.668 0.997
Hg 0.497 0.497 0.509
Sb 0.085 0.085 0.746
Sb 0.251 0.251 0.248

=====

Compound: BaB2O4
Source: Alexandria via LeMat-Bulk
Functional: PBE
Structure: optimized geometry

Calculated values
Energy relative to the elements, uncorrected ... -2437 meV per atom
Final energy ... -104.3 eV per cell
ΔE to the lowest computed polymorph ... 259 meV/atom

Cell: 3.724 9.778 9.462 Å, 87.84 78.65 79.00°
Atoms (fractional coordinates):
B 0.875 0.750 0.750
B 0.375 0.250 0.250
B 0.375 0.750 0.250
B 0.375 0.250 0.750
Ba 0.750 0.500 0.500
Ba 0.000 0.000 0.000
O 0.373 0.344 0.339
O 0.377 0.156 0.161
O 0.056 0.656 0.661
O 0.283 0.344 0.661
O 0.287 0.656 0.339
O 0.694 0.844 0.839
O 0.467 0.156 0.839
O 0.463 0.844 0.161

=====

Compound: PmY2Be
Source: Alexandria via LeMat-Bulk
Functional: PBE
Structure: optimized geometry

Calculated values
Final energy ... -18.6 eV per cell
ΔE to the lowest computed polymorph ... 646 meV/atom
E_form ... 709 meV/atom

Cell: 3.493 3.493 11.655 Å, 81.38 81.38 60.00°
Atoms (fractional coordinates):
Y 0.084 0.084 0.749
Y 0.916 0.916 0.251
Be 0.000 0.000 0.000
Pm 0.500 0.500 0.500

=====

Compound: Tb5Tm8Mg
Source: Alexandria via LeMat-Bulk
Functional: PBE
Structure: optimized geometry

Calculated values
Final energy ... -57.3 eV per cell
E_form ... 233 meV/atom

Cell: 8.317 8.317 8.317 Å, 110.50 107.42 110.50°
Atoms (fractional coordinates):
Tb 0.025 0.316 0.131
Tb 0.869 0.894 0.185
Tb 0.815 0.684 0.710
Tb 0.500 0.000 0.500
Tb 0.290 0.106 0.975
Tm 0.165 0.731 0.073
Tm 0.927 0.092 0.658
Tm 0.733 0.256 0.338
Tm 0.662 0.395 0.918
Tm 0.523 0.605 0.267
Tm 0.566 0.908 0.835
Tm 0.342 0.269 0.434
Tm 0.082 0.744 0.477
Mg 0.250 0.500 0.750

=====

Compound: NdHo4
Source: Alexandria via LeMat-Bulk
Functional: PBE
Structure: optimized geometry

Calculated values
Final energy ... -23.0 eV per cell
ΔE to the lowest computed polymorph ... 0 meV/atom
E_form ... 20 meV/atom

Cell: 3.555 3.555 14.594 Å, 83.11 83.11 60.06°
Atoms (fractional coordinates):
Nd 0.000 0.000 0.000
Ho 0.200 0.200 0.401
Ho 0.800 0.800 0.599
Ho 0.599 0.599 0.204
Ho 0.401 0.401 0.796

=====

Compound: Zr5Pb3
Source: Alexandria via LeMat-Bulk
Functional: PBE
Structure: optimized geometry

Calculated values
Final energy ... -111.5 eV per cell
ΔE to the lowest computed polymorph ... 15 meV/atom
E_form ... -238 meV/atom

Cell: 8.590 8.590 8.587 Å, 96.50 96.50 140.67°
Atoms (fractional coordinates):
Pb 0.250 0.250 0.000
Pb 0.750 0.750 0.000
Pb 0.835 0.666 0.500
Pb 0.165 0.335 0.500
Pb 0.335 0.835 0.169
Pb 0.665 0.166 0.831
Zr 0.250 0.750 0.500
Zr 0.750 0.251 0.500
Zr 0.923 0.225 0.148
Zr 0.077 0.776 0.852
Zr 0.423 0.276 0.698
Zr 0.576 0.725 0.301
Zr 0.725 0.423 0.148
Zr 0.276 0.577 0.852
Zr 0.776 0.924 0.699
Zr 0.224 0.077 0.302

=====

Compound: Pr5SmPb5
Source: Alexandria via LeMat-Bulk
Functional: PBE
Structure: optimized geometry

Calculated values
Final energy ... -50.9 eV per cell
E_form ... -343 meV/atom

Cell: 6.465 8.030 8.892 Å, 106.15 90.00 113.74°
Last column: magnetic moment on the atom in μB.
Atoms (fractional coordinates):
Pr 0.668 0.335 0.335  0.02
Pr 0.666 0.333 0.831  0.03
Pr 0.000 0.000 0.500  0.07
Pr 0.334 0.667 0.169  0.03
Pr 0.332 0.665 0.665  0.02
Sm 0.000 0.000 0.000  0.00
Pb 0.836 0.672 0.168  0.00
Pb 0.836 0.672 0.668  0.00
Pb 0.500 0.000 0.000  -0.01
Pb 0.164 0.328 0.332  0.00
Pb 0.164 0.328 0.832  0.00

=====

Compound: BaMn3S
Source: Alexandria via LeMat-Bulk
Functional: PBE
Structure: optimized geometry

Calculated values
Energy relative to the elements, uncorrected ... 293 meV per atom
Final energy ... -32.1 eV per cell
ΔE to the lowest computed polymorph ... 0 meV/atom

Cell: 4.630 4.630 4.630 Å, 90.00 90.00 90.00°
Last column: magnetic moment on the atom in μB.
Atoms (fractional coordinates):
S 0.000 0.000 0.000  0.07
Mn 0.000 0.500 0.000  -3.31
Mn 0.000 0.000 0.500  -3.08
Mn 0.500 0.000 0.000  -3.29
Ba 0.500 0.500 0.500  0.23

=====

Compound: V4FeTc2
Source: Alexandria via LeMat-Bulk
Functional: PBE
Structure: optimized geometry

Calculated values
Final energy ... -60.4 eV per cell
E_form ... 747 meV/atom

Cell: 4.218 4.218 6.814 Å, 71.97 71.97 90.00°
Atoms (fractional coordinates):
V 0.188 0.188 0.624
V 0.812 0.812 0.376
V 0.000 0.500 0.000
V 0.500 0.000 0.000
Tc 0.373 0.373 0.253
Tc 0.627 0.627 0.747
Fe 0.000 0.000 0.000

=====

Compound: TcS
Source: Alexandria via LeMat-Bulk
Functional: PBE
Structure: optimized geometry

Calculated values
Energy relative to the elements, uncorrected ... 161 meV per atom
Final energy ... -85.0 eV per cell
ΔE to the lowest computed polymorph ... 550 meV/atom

Cell: 6.445 6.445 6.445 Å, 90.00 90.00 90.00°
Last column: magnetic moment on the atom in μB.
Atoms (fractional coordinates):
Tc 0.250 0.000 0.500  0.10
Tc 0.750 0.000 0.500  0.10
Tc 0.000 0.500 0.250  0.10
Tc 0.000 0.500 0.750  0.10
Tc 0.500 0.250 0.000  0.10
Tc 0.500 0.750 0.000  0.10
S 0.250 0.500 0.000  0.00
S 0.750 0.500 0.000  0.00
S 0.500 0.000 0.250  0.00
S 0.500 0.000 0.750  0.00
S 0.000 0.250 0.500  0.00
S 0.000 0.750 0.500  0.00

=====

Compound: SnTe2N2
Source: Alexandria via LeMat-Bulk
Functional: PBE
Structure: optimized geometry

Calculated values
Energy relative to the elements, uncorrected ... 1412 meV per atom
Final energy ... -19.9 eV per cell
ΔE to the lowest computed polymorph ... 1461 meV/atom

Cell: 4.745 4.745 4.337 Å, 90.00 90.00 90.00°
Last column: magnetic moment on the atom in μB.
Atoms (fractional coordinates):
Te 0.000 0.500 0.000  0.06
Te 0.500 0.000 0.000  0.06
Sn 0.500 0.500 0.500  -0.01
N 0.000 0.000 0.000  -0.07
N 0.000 0.000 0.500  1.07

=====

Compound: Nd4ZnCu3
Source: Alexandria via LeMat-Bulk
Functional: PBE
Structure: optimized geometry

Calculated values
Final energy ... -34.1 eV per cell
E_form ... -187 meV/atom

Cell: 3.985 4.587 10.636 Å, 90.00 90.00 90.00°
Atoms (fractional coordinates):
Nd 0.500 0.500 0.364
Nd 0.000 0.500 0.850
Nd 0.000 0.000 0.142
Nd 0.500 0.000 0.641
Zn 0.500 0.500 0.067
Cu 0.000 0.500 0.567
Cu 0.000 0.000 0.436
Cu 0.500 0.000 0.932

=====

Compound: ErI2Br
Source: Alexandria via LeMat-Bulk
Functional: PBE
Structure: optimized geometry

Calculated values
Energy relative to the elements, uncorrected ... -1488 meV per atom
Final energy ... -15.3 eV per cell
ΔE to the lowest computed polymorph ... 22 meV/atom

Cell: 3.875 7.710 7.709 Å, 60.20 75.45 75.45°
Atoms (fractional coordinates):
Er 0.750 0.886 0.614
I 0.093 0.889 0.925
I 0.407 0.575 0.611
Br 0.250 0.150 0.350

=====

Compound: TiNbW2
Source: Alexandria via LeMat-Bulk
Functional: PBE
Structure: optimized geometry

Calculated values
Final energy ... -87.6 eV per cell
E_form ... 15 meV/atom

Cell: 5.575 5.575 4.531 Å, 90.00 90.00 109.40°
Atoms (fractional coordinates):
Ti 0.879 0.121 0.250
Ti 0.121 0.879 0.750
Nb 0.628 0.372 0.750
Nb 0.372 0.628 0.250
W 0.624 0.874 0.750
W 0.126 0.376 0.750
W 0.874 0.624 0.250
W 0.376 0.126 0.250

=====

Size of the total moment: 0.000 0.000 5.335 0.708 0.000 0.000 0.000 0.000 0.000 0.000 0.000 0.000 0.000 0.579 9.127 0.002 0.104 1.605 0.000 0.000 0.000 (μB/f.u.)
N(E_F): 4.909 2.320 1.894 3.033 5.375 5.822 7.422 1.698 0.000 4.554 17.300 6.314 12.420 10.517 2.286 10.657 8.638 2.162 7.785 0.000 11.983 (states/eV per cell)